# 1
DFT (GGA-PBE) results for ScAs2Ru after structural relaxation. Values from VASP.

Computed properties:
Space-group type   Cm, No. 8

Quantum ESPRESSO input file:
```
&SYSTEM
  ibrav = 0, nat = 4, ntyp = 3
/
ATOMIC_SPECIES
Ru 101.07 Ru.upf
As 74.92 As.upf
Sc 44.96 Sc.upf
CELL_PARAMETERS angstrom
-1.266 3.833 -2.772
-3.915 2.177 -1.977
-1.125 3.293 3.112
ATOMIC_POSITIONS angstrom
Ru -3.172 4.834 -0.500
As -4.721 6.847 -1.470
As -5.212 6.125 -4.612
Sc -1.536 2.159 -0.623
```



# 2
DFT (GGA-PBE) results for Sc3AsRu after structural relaxation. Values from VASP.

Computed properties:
Space-group type   Pm-3m, No. 221

Quantum ESPRESSO input file:
```
&SYSTEM
  ibrav = 0, nat = 5, ntyp = 3
/
ATOMIC_SPECIES
Sc 44.96 Sc.upf
Ru 101.07 Ru.upf
As 74.92 As.upf
CELL_PARAMETERS angstrom
4.907 0.000 0.000
0.000 4.907 0.000
0.000 0.000 4.907
ATOMIC_POSITIONS angstrom
Sc 0.000 0.000 2.453
Sc 0.000 2.453 0.000
Sc 2.453 0.000 0.000
Ru 2.453 2.453 2.453
As 0.000 0.000 0.000
```



# 3
DFT (GGA-PBE) results for ScAsRu after structural relaxation. Values from VASP.

Computed properties:
Space-group type   P-6m2, No. 187

Quantum ESPRESSO input file:
```
&SYSTEM
  ibrav = 0, nat = 3, ntyp = 3
/
ATOMIC_SPECIES
Ru 101.07 Ru.upf
Sc 44.96 Sc.upf
As 74.92 As.upf
CELL_PARAMETERS angstrom
4.279 0.000 0.000
-2.139 3.706 0.000
0.000 0.000 3.178
ATOMIC_POSITIONS angstrom
Ru 2.139 1.235 0.530
Sc 0.000 2.470 2.119
As 0.000 0.000 0.530
```



# 4
DFT (GGA-PBE) results for ScAs2Ru after structural relaxation. Values from VASP.

Computed properties:
Space-group type   I-42d, No. 122

Quantum ESPRESSO input file:
```
&SYSTEM
  ibrav = 0, nat = 8, ntyp = 3
/
ATOMIC_SPECIES
As 74.92 As.upf
Sc 44.96 Sc.upf
Ru 101.07 Ru.upf
CELL_PARAMETERS angstrom
5.260 0.000 0.000
0.000 5.260 0.000
2.630 2.630 6.731
ATOMIC_POSITIONS angstrom
As 3.945 3.670 5.048
As 6.576 6.851 5.048
As 1.039 3.945 1.683
As 4.221 1.315 1.683
Sc 2.630 2.630 0.000
Sc 2.630 5.260 3.366
Ru 5.260 2.630 3.366
Ru 0.000 0.000 0.000
```



# 5
DFT (GGA-PBE) results for Sc3AsRu after structural relaxation. Values from VASP.

Computed properties:
Space-group type   Pm-3m, No. 221

Quantum ESPRESSO input file:
```
&SYSTEM
  ibrav = 0, nat = 5, ntyp = 3
/
ATOMIC_SPECIES
Sc 44.96 Sc.upf
As 74.92 As.upf
Ru 101.07 Ru.upf
CELL_PARAMETERS angstrom
-0.080 -2.532 -4.220
-3.313 -3.093 1.919
-3.640 2.872 -1.654
ATOMIC_POSITIONS angstrom
Sc -1.820 1.436 -0.827
Sc -0.040 -1.266 -2.110
Sc -1.656 -1.547 0.960
As -3.516 -1.377 -1.977
Ru 0.000 0.000 0.000
```



# 6
DFT (GGA-PBE) results for ScAs2Ru after structural relaxation. Values from VASP.

Computed properties:
Space-group type   Amm2, No. 38

Quantum ESPRESSO input file:
```
&SYSTEM
  ibrav = 0, nat = 4, ntyp = 3
/
ATOMIC_SPECIES
Ru 101.07 Ru.upf
As 74.92 As.upf
Sc 44.96 Sc.upf
CELL_PARAMETERS angstrom
-3.793 2.550 -1.111
-1.157 -0.466 2.878
1.626 3.710 2.963
ATOMIC_POSITIONS angstrom
Ru 0.334 1.498 2.299
As -1.873 2.219 1.532
As 1.514 3.609 3.117
Sc -1.436 3.799 3.666
```



# 7
DFT (GGA-PBE) results for ScAs2Ru after structural relaxation. Values from VASP.

Computed properties:
Space-group type   F-43m, No. 216

Quantum ESPRESSO input file:
```
&SYSTEM
  ibrav = 0, nat = 4, ntyp = 3
/
ATOMIC_SPECIES
As 74.92 As.upf
Ru 101.07 Ru.upf
Sc 44.96 Sc.upf
CELL_PARAMETERS angstrom
-3.607 -2.801 0.333
0.634 -4.526 0.283
-0.844 -2.188 3.933
ATOMIC_POSITIONS angstrom
As -2.863 -7.137 3.412
As 0.000 0.000 0.000
Ru -1.908 -4.758 2.274
Sc -0.954 -2.379 1.137
```



# 8
DFT (GGA-PBE) results for ScAs2Ru after structural relaxation. Values from VASP.

Computed properties:
Space-group type   C2/m, No. 12

Quantum ESPRESSO input file:
```
&SYSTEM
  ibrav = 0, nat = 4, ntyp = 3
/
ATOMIC_SPECIES
As 74.92 As.upf
Sc 44.96 Sc.upf
Ru 101.07 Ru.upf
CELL_PARAMETERS angstrom
3.875 -0.042 0.044
1.967 3.339 0.044
1.902 1.074 5.514
ATOMIC_POSITIONS angstrom
As 3.870 2.184 2.995
As 1.904 1.075 5.320
Sc 1.936 1.093 1.401
Ru 5.808 3.278 4.202
```



# 9
DFT (GGA-PBE) results for ScAs2Ru after structural relaxation. Values from VASP.

Computed properties:
Space-group type   P4/mmm, No. 123

Quantum ESPRESSO input file:
```
&SYSTEM
  ibrav = 0, nat = 4, ntyp = 3
/
ATOMIC_SPECIES
Sc 44.96 Sc.upf
Ru 101.07 Ru.upf
As 74.92 As.upf
CELL_PARAMETERS angstrom
4.550 0.000 0.000
0.000 4.550 0.000
0.000 0.000 3.182
ATOMIC_POSITIONS angstrom
Sc 0.000 2.275 1.591
Ru 2.275 0.000 1.591
As 0.000 0.000 0.000
As 2.275 2.275 0.000
```



# 10
DFT (GGA-PBE) results for ScAs2Ru after structural relaxation. Values from VASP.

Computed properties:
Space-group type   Cmmm, No. 65

Quantum ESPRESSO input file:
```
&SYSTEM
  ibrav = 0, nat = 4, ntyp = 3
/
ATOMIC_SPECIES
As 74.92 As.upf
Sc 44.96 Sc.upf
Ru 101.07 Ru.upf
CELL_PARAMETERS angstrom
3.125 0.007 0.000
-0.395 3.100 0.000
0.000 0.000 6.822
ATOMIC_POSITIONS angstrom
As 0.000 0.000 0.156
As 0.000 0.000 3.255
Sc 1.365 1.554 5.116
Ru 1.365 1.554 1.705
```



# 11
DFT (GGA-PBE) results for ScAsRu after structural relaxation. Values from VASP.

Computed properties:
Space-group type   I4mm, No. 107

Quantum ESPRESSO input file:
```
&SYSTEM
  ibrav = 0, nat = 3, ntyp = 3
/
ATOMIC_SPECIES
As 74.92 As.upf
Ru 101.07 Ru.upf
Sc 44.96 Sc.upf
CELL_PARAMETERS angstrom
-1.646 -5.037 1.985
1.397 -5.306 1.383
0.607 0.042 3.054
ATOMIC_POSITIONS angstrom
As -0.228 -10.093 3.360
Ru 0.306 -3.611 3.164
Sc 0.032 -6.941 3.265
```



# 12
DFT (GGA-PBE) results for ScAs2Ru after structural relaxation. Values from VASP.

Computed properties:
Space-group type   I-4m2, No. 119

Quantum ESPRESSO input file:
```
&SYSTEM
  ibrav = 0, nat = 4, ntyp = 3
/
ATOMIC_SPECIES
As 74.92 As.upf
Ru 101.07 Ru.upf
Sc 44.96 Sc.upf
CELL_PARAMETERS angstrom
5.303 0.032 0.000
2.510 4.672 0.000
-3.907 -2.352 2.708
ATOMIC_POSITIONS angstrom
As 0.000 0.000 0.000
As 1.255 2.336 1.354
Ru 3.907 2.352 0.000
Sc 2.652 0.016 1.354
```



# 13
DFT (GGA-PBE) results for ScAs2Ru after structural relaxation. Values from VASP.

Computed properties:
Space-group type   P4mm, No. 99

Quantum ESPRESSO input file:
```
&SYSTEM
  ibrav = 0, nat = 4, ntyp = 3
/
ATOMIC_SPECIES
As 74.92 As.upf
Ru 101.07 Ru.upf
Sc 44.96 Sc.upf
CELL_PARAMETERS angstrom
3.068 -0.001 0.000
0.001 3.068 0.000
0.000 0.000 8.163
ATOMIC_POSITIONS angstrom
As 0.000 0.000 7.830
As 1.534 1.533 2.692
Ru 0.000 0.000 3.992
Sc 1.534 1.533 5.892
```



# 14
DFT (GGA-PBE) results for ScAs2Ru after structural relaxation. Values from VASP.

Computed properties:
Space-group type   Imm2, No. 44

Quantum ESPRESSO input file:
```
&SYSTEM
  ibrav = 0, nat = 4, ntyp = 3
/
ATOMIC_SPECIES
As 74.92 As.upf
Ru 101.07 Ru.upf
Sc 44.96 Sc.upf
CELL_PARAMETERS angstrom
6.430 0.023 -0.006
4.538 4.555 0.006
-5.314 -2.696 2.416
ATOMIC_POSITIONS angstrom
As 0.388 0.162 0.000
As 2.891 2.298 1.211
Ru 5.071 2.117 0.000
Sc 2.788 -0.406 1.205
```



# 15
DFT (GGA-PBE) results for ScAs3Ru after structural relaxation. Values from VASP.

Computed properties:
Space-group type   Pm-3m, No. 221

Quantum ESPRESSO input file:
```
&SYSTEM
  ibrav = 0, nat = 5, ntyp = 3
/
ATOMIC_SPECIES
Sc 44.96 Sc.upf
As 74.92 As.upf
Ru 101.07 Ru.upf
CELL_PARAMETERS angstrom
4.989 0.000 0.000
0.000 4.989 0.000
0.000 0.000 4.989
ATOMIC_POSITIONS angstrom
Sc 0.000 0.000 0.000
As 0.000 2.494 0.000
As 2.494 0.000 0.000
As 0.000 0.000 2.494
Ru 2.494 2.494 2.494
```



# 16
DFT (GGA-PBE) results for ScAs2RuSe after structural relaxation. Values from VASP.

Computed properties:
Formation energy from raw total energies   0.75 eV/atom
Space-group type   P4/mmm, No. 123

Quantum ESPRESSO input file:
```
&SYSTEM
  ibrav = 0, nat = 5, ntyp = 4
/
ATOMIC_SPECIES
As 74.92 As.upf
Sc 44.96 Sc.upf
Se 78.96 Se.upf
Ru 101.07 Ru.upf
CELL_PARAMETERS angstrom
5.045 0.000 0.000
0.000 5.045 0.000
0.000 0.000 4.993
ATOMIC_POSITIONS angstrom
As 0.000 2.522 0.000
As 2.522 0.000 0.000
Sc 0.000 0.000 0.000
Se 0.000 0.000 2.497
Ru 2.522 2.522 2.497
```



# 17
DFT (GGA-PBE) results for ScAs2RuSe after structural relaxation. Values from VASP.

Computed properties:
Formation energy from raw total energies   0.08 eV/atom
Space-group type   P4/mmm, No. 123

Quantum ESPRESSO input file:
```
&SYSTEM
  ibrav = 0, nat = 5, ntyp = 4
/
ATOMIC_SPECIES
Ru 101.07 Ru.upf
Se 78.96 Se.upf
As 74.92 As.upf
Sc 44.96 Sc.upf
CELL_PARAMETERS angstrom
-2.903 -2.871 -2.186
-0.248 -2.640 3.796
-4.154 2.881 1.733
ATOMIC_POSITIONS angstrom
Ru 0.000 0.000 0.000
Se -2.077 1.441 0.866
As -1.451 -1.435 -1.093
As -0.124 -1.320 1.898
Sc -3.652 -1.315 1.672
```



# 18
DFT (GGA-PBE) results for ScAsRu2Se after structural relaxation. Values from VASP.

Computed properties:
Formation energy from raw total energies   0.56 eV/atom
Space-group type   P4/mmm, No. 123

Quantum ESPRESSO input file:
```
&SYSTEM
  ibrav = 0, nat = 5, ntyp = 4
/
ATOMIC_SPECIES
Ru 101.07 Ru.upf
Se 78.96 Se.upf
Sc 44.96 Sc.upf
As 74.92 As.upf
CELL_PARAMETERS angstrom
-0.576 3.860 2.209
-4.393 -0.839 0.321
0.790 -2.432 4.455
ATOMIC_POSITIONS angstrom
Ru -0.288 1.930 1.104
Ru -2.197 -0.420 0.160
Se 0.000 0.000 0.000
Sc -2.090 0.294 3.492
As 0.395 -1.216 2.227
```



# 19
DFT (GGA-PBE) results for Sc2SnAsRu after structural relaxation. Values from VASP.

Computed properties:
Space-group type   P4/mmm, No. 123

Quantum ESPRESSO input file:
```
&SYSTEM
  ibrav = 0, nat = 5, ntyp = 4
/
ATOMIC_SPECIES
Sc 44.96 Sc.upf
As 74.92 As.upf
Ru 101.07 Ru.upf
Sn 118.71 Sn.upf
CELL_PARAMETERS angstrom
-0.801 1.237 -5.048
-3.413 -3.397 -0.291
-3.629 3.523 1.439
ATOMIC_POSITIONS angstrom
Sc -1.815 1.762 0.720
Sc -0.400 0.618 -2.524
As -3.922 0.681 -1.950
Ru -1.707 -1.699 -0.145
Sn 0.000 0.000 0.000
```



# 20
DFT (GGA-PBE) results for ScTc2AsRu after structural relaxation. Values from VASP.

Computed properties:
Space-group type   P4/mmm, No. 123

Quantum ESPRESSO input file:
```
&SYSTEM
  ibrav = 0, nat = 5, ntyp = 4
/
ATOMIC_SPECIES
Tc 98.00 Tc.upf
As 74.92 As.upf
Ru 101.07 Ru.upf
Sc 44.96 Sc.upf
CELL_PARAMETERS angstrom
4.555 0.000 0.000
0.000 4.520 0.000
0.000 0.000 4.555
ATOMIC_POSITIONS angstrom
Tc 2.277 0.000 0.000
Tc 0.000 0.000 2.277
As 0.000 0.000 0.000
Ru 0.000 2.260 0.000
Sc 2.277 2.260 2.277
```



Number 1: E -6.74 eV/atom. Number 2: E -6.46 eV/atom. Number 3: E -7.46 eV/atom. Number 4: E -6.46 eV/atom. Number 5: E -6.77 eV/atom. Number 6: E -6.66 eV/atom. Number 7: E -6.43 eV/atom. Number 8: E -6.84 eV/atom. Number 9: E -6.69 eV/atom. Number 10: E -6.64 eV/atom. Number 11: E -7.29 eV/atom. Number 12: E -6.61 eV/atom. Number 13: E -6.65 eV/atom. Number 14: E -6.83 eV/atom. Number 15: E -4.99 eV/atom. Number 16: E -4.92 eV/atom. Number 17: E -5.60 eV/atom. Number 18: E -6.04 eV/atom. Number 19: E -5.45 eV/atom. Number 20: E -7.72 eV/atom.